Entry one
First-principles (GGA-PBE) data for LiLaAlAu after structural relaxation, as listed in OQMD.

Unit cell a=4.8686 b=4.8686 c=4.8686 alpha=60.00 beta=60.00 gamma=60.00
Last column: nearest neighbours and their distance in Å.
Positions (direct):
Al 0.5000 0.5000 0.5000  4 Au 2.98, 4 La 2.98
Au 0.7500 0.7500 0.7500  4 Al 2.98, 4 Li 2.98
La 0.2500 0.2500 0.2500  4 Al 2.98, 4 Li 2.98
Li 0.0000 0.0000 0.0000  4 La 2.98, 4 Au 2.98

Computed properties:
Calculated density   7.53 g cm⁻³
V   20.40 Å³ per atom



Entry two
First-principles (GGA-PBE) data for LiLaAlAu after structural relaxation, as listed in OQMD.

Unit cell a=4.9207 b=4.9207 c=4.9207 alpha=60.00 beta=60.00 gamma=60.00
Last column: nearest neighbours and their distance in Å.
Positions (direct):
Al 0.0000 0.0000 0.0000  4 Au 3.01, 4 Li 3.01
Au 0.7500 0.7500 0.7500  4 La 3.01, 4 Al 3.01
La 0.5000 0.5000 0.5000  4 Li 3.01, 4 Au 3.01
Li 0.2500 0.2500 0.2500  4 La 3.01, 4 Al 3.01

Computed properties:
Calculated density   7.29 g cm⁻³
V   21.06 Å³ per atom



Entry three
First-principles (GGA-PBE) data for LiLaAlAu after structural relaxation, as listed in OQMD.

Unit cell a=5.0316 b=5.0316 c=5.0316 alpha=60.00 beta=60.00 gamma=60.00
Last column: nearest neighbours and their distance in Å.
Positions (direct):
Al 0.2500 0.2500 0.2500  4 La 3.08, 4 Li 3.08
Au 0.7500 0.7500 0.7500  4 La 3.08, 4 Li 3.08
La 0.5000 0.5000 0.5000  4 Al 3.08, 4 Au 3.08
Li 0.0000 0.0000 0.0000  4 Al 3.08, 4 Au 3.08

Computed properties:
Calculated density   6.82 g cm⁻³
V   22.52 Å³ per atom



entry two wins, 100 meV/atom ahead of the next structure.



Entry one
First-principles (GGA-PBE) data for LiLuAlAu after structural relaxation, as listed in OQMD.

Unit cell a=4.6404 b=4.6404 c=4.6404 alpha=60.00 beta=60.00 gamma=60.00
Last column: nearest neighbours and their distance in Å.
Positions (direct):
Al 0.0000 0.0000 0.0000  4 Lu 2.84, 4 Au 2.84
Au 0.7500 0.7500 0.7500  4 Li 2.84, 4 Al 2.84
Li 0.5000 0.5000 0.5000  4 Lu 2.84, 4 Au 2.84
Lu 0.2500 0.2500 0.2500  4 Li 2.84, 4 Al 2.84

Computed properties:
Calculated density   9.54 g cm⁻³
V   17.66 Å³ per atom



Entry two
First-principles (GGA-PBE) data for LiLuAlAu after structural relaxation, as listed in OQMD.

Unit cell a=4.6546 b=4.6546 c=4.6546 alpha=60.00 beta=60.00 gamma=60.00
Last column: nearest neighbours and their distance in Å.
Positions (direct):
Al 0.2500 0.2500 0.2500  4 Li 2.85, 4 Au 2.85
Au 0.0000 0.0000 0.0000  4 Al 2.85, 4 Lu 2.85
Li 0.5000 0.5000 0.5000  4 Al 2.85, 4 Lu 2.85
Lu 0.7500 0.7500 0.7500  4 Au 2.85, 4 Li 2.85

Computed properties:
Calculated density   9.45 g cm⁻³
V   17.83 Å³ per atom



entry two wins, 169 meV/atom ahead of the next structure.



Entry one
First-principles (GGA-PBE) data for SrMgAlAu after structural relaxation, as listed in OQMD.

Unit cell a=5.0546 b=5.0546 c=5.0546 alpha=60.00 beta=60.00 gamma=60.00
Last column: nearest neighbours and their distance in Å.
Positions (direct):
Al 0.5000 0.5000 0.5000  4 Mg 3.10, 4 Au 3.10
Au 0.7500 0.7500 0.7500  4 Sr 3.10, 4 Al 3.10
Mg 0.2500 0.2500 0.2500  4 Sr 3.10, 4 Al 3.10
Sr 0.0000 0.0000 0.0000  4 Mg 3.10, 4 Au 3.10

Computed properties:
Calculated density   6.11 g cm⁻³
V   22.83 Å³ per atom



Entry two
First-principles (GGA-PBE) data for SrMgAlAu after structural relaxation, as listed in OQMD.

Unit cell a=4.9769 b=4.9769 c=4.9769 alpha=60.00 beta=60.00 gamma=60.00
Last column: nearest neighbours and their distance in Å.
Positions (direct):
Al 0.0000 0.0000 0.0000  4 Au 3.05, 4 Sr 3.05
Au 0.7500 0.7500 0.7500  4 Mg 3.05, 4 Al 3.05
Mg 0.5000 0.5000 0.5000  4 Au 3.05, 4 Sr 3.05
Sr 0.2500 0.2500 0.2500  4 Mg 3.05, 4 Al 3.05

Computed properties:
Calculated density   6.40 g cm⁻³
V   21.79 Å³ per atom



Entry three
First-principles (GGA-PBE) data for SrMgAlAu after structural relaxation, as listed in OQMD.

Unit cell a=5.1228 b=5.1228 c=5.1228 alpha=60.00 beta=60.00 gamma=60.00
Last column: nearest neighbours and their distance in Å.
Positions (direct):
Al 0.2500 0.2500 0.2500  4 Mg 3.14, 4 Sr 3.14
Au 0.7500 0.7500 0.7500  4 Mg 3.14, 4 Sr 3.14
Mg 0.5000 0.5000 0.5000  4 Au 3.14, 4 Al 3.14
Sr 0.0000 0.0000 0.0000  4 Al 3.14, 4 Au 3.14

Computed properties:
Calculated density   5.87 g cm⁻³
V   23.77 Å³ per atom



entry three wins, 24 meV/atom ahead of the next structure.



Entry one
First-principles (GGA-PBE) data for AlAuNO after structural relaxation, as listed in OQMD.

Unit cell a=5.2042 b=5.4753 c=7.4678 alpha=90.00 beta=90.00 gamma=90.00
Last column: nearest neighbours and their distance in Å.
Positions (direct):
Al 0.0263 0.0724 0.1025  1 N 1.82, 3 O 1.83-1.85
Al 0.5263 0.4276 0.1025  1 N 1.82, 3 O 1.83-1.85
Al 0.0263 0.5724 0.8975  1 N 1.82, 3 O 1.83-1.85
Al 0.5263 0.9276 0.8975  1 N 1.82, 3 O 1.83-1.85
Au 0.9250 0.5898 0.4449  3 N 2.12-2.16
Au 0.4250 0.9102 0.4449  3 N 2.12-2.16
Au 0.9250 0.0898 0.5551  3 N 2.12-2.16
Au 0.4250 0.4102 0.5551  3 N 2.12-2.16
N 0.5607 0.5801 0.3171  1 Al 1.82
N 0.0607 0.9199 0.3171  1 Al 1.82
N 0.5607 0.0802 0.6829  1 Al 1.82
N 0.0607 0.4199 0.6829  1 Al 1.82
O 0.6904 0.1409 0.0512  3 Al 1.83-1.85
O 0.1904 0.3591 0.0512  3 Al 1.83-1.85
O 0.6904 0.6409 0.9488  3 Al 1.83-1.85
O 0.1904 0.8591 0.9488  3 Al 1.83-1.85

Computed properties:
Calculated density   7.93 g cm⁻³
V   13.30 Å³ per atom



Entry two
First-principles (GGA-PBE) data for AlAuNO after structural relaxation, as listed in OQMD.

Unit cell a=3.9252 b=3.9252 c=6.5060 alpha=90.00 beta=90.00 gamma=90.00
Last column: nearest neighbours and their distance in Å.
Positions (direct):
Al 0.7500 0.2500 0.5000  4 N 1.97
Al 0.2500 0.7500 0.5000  4 N 1.97
Au 0.2500 0.2500 0.1488  4 O 2.19, 1 N 2.43
Au 0.7500 0.7500 0.8512  4 O 2.19, 1 N 2.43
N 0.7500 0.7500 0.4775  4 Al 1.97
N 0.2500 0.2500 0.5225  4 Al 1.97
O 0.7500 0.2500 0.0000  4 Au 2.19
O 0.2500 0.7500 0.0000  4 Au 2.19

Computed properties:
Calculated density   8.41 g cm⁻³
V   12.53 Å³ per atom



entry one wins, 680 meV/atom ahead of the next structure.



Entry one
First-principles (GGA-PBE) data for NaScAlAu after structural relaxation, as listed in OQMD.

Unit cell a=4.6963 b=4.6963 c=4.6963 alpha=60.00 beta=60.00 gamma=60.00
Last column: nearest neighbours and their distance in Å.
Positions (direct):
Al 0.5000 0.5000 0.5000  4 Na 2.88, 4 Au 2.88
Au 0.7500 0.7500 0.7500  4 Al 2.88, 4 Sc 2.88
Na 0.2500 0.2500 0.2500  4 Al 2.88, 4 Sc 2.88
Sc 0.0000 0.0000 0.0000  4 Na 2.88, 4 Au 2.88

Computed properties:
Calculated density   6.62 g cm⁻³
V   18.31 Å³ per atom



Entry two
First-principles (GGA-PBE) data for NaScAlAu after structural relaxation, as listed in OQMD.

Unit cell a=4.8281 b=4.8281 c=4.8281 alpha=60.00 beta=60.00 gamma=60.00
Last column: nearest neighbours and their distance in Å.
Positions (direct):
Al 0.2500 0.2500 0.2500  4 Na 2.96, 4 Sc 2.96
Au 0.7500 0.7500 0.7500  4 Sc 2.96, 4 Na 2.96
Na 0.5000 0.5000 0.5000  4 Al 2.96, 4 Au 2.96
Sc 0.0000 0.0000 0.0000  4 Au 2.96, 4 Al 2.96

Computed properties:
Calculated density   6.09 g cm⁻³
V   19.90 Å³ per atom



entry one wins, 128 meV/atom ahead of the next structure.



Entry one
First-principles (GGA-PBE) data for NaAlTlAu after structural relaxation, as listed in OQMD.

Unit cell a=5.0076 b=5.0076 c=5.0076 alpha=60.00 beta=60.00 gamma=60.00
Last column: nearest neighbours and their distance in Å.
Positions (direct):
Al 0.2500 0.2500 0.2500  4 Na 3.07, 4 Tl 3.07
Au 0.7500 0.7500 0.7500  4 Na 3.07, 4 Tl 3.07
Na 0.5000 0.5000 0.5000  4 Au 3.07, 4 Al 3.07
Tl 0.0000 0.0000 0.0000  4 Al 3.07, 4 Au 3.07

Computed properties:
Calculated density   8.44 g cm⁻³
V   22.20 Å³ per atom



Entry two
First-principles (GGA-PBE) data for NaAlTlAu after structural relaxation, as listed in OQMD.

Unit cell a=4.9243 b=4.9243 c=4.9243 alpha=60.00 beta=60.00 gamma=60.00
Last column: nearest neighbours and their distance in Å.
Positions (direct):
Al 0.0000 0.0000 0.0000  4 Tl 3.02, 4 Au 3.02
Au 0.7500 0.7500 0.7500  4 Na 3.02, 4 Al 3.02
Na 0.5000 0.5000 0.5000  4 Tl 3.02, 4 Au 3.02
Tl 0.2500 0.2500 0.2500  4 Al 3.02, 4 Na 3.02

Computed properties:
Calculated density   8.88 g cm⁻³
V   21.11 Å³ per atom



entry two wins, 125 meV/atom ahead of the next structure.